## SrSnSbTe2 (meta-GGA SCAN)

Data for a crystal of SrSnSbTe2 relaxed with PBEsol.

The structure in POSCAR format:
```
SrSnSbTe2
1.0
5.9200 0.0000 0.0000
0.0000 5.9200 0.0000
0.0000 0.0000 5.8145
Sr Sn Sb Te
1 1 1 2
direct
0.0000 0.0000 0.0000 Sr
0.5000 0.5000 0.5000 Sn
0.0000 0.0000 0.5000 Sb
0.0000 0.5000 0.0000 Te
0.5000 0.0000 0.0000 Te
```

Results
The formation energy from raw total energies is 0.480 eV/atom.